Material: NiHIO2
Method: DFT, GGA+U
State: relaxed

Lattice parameters (Å, degrees): 4.238 4.238 3.408 90.00 90.00 90.00
Space group P4/mmm (No. 123)
Symmetry-distinct sites (fractional):
Ni1 0.000 0.000 0.000
H1 0.500 0.500 0.500
I1 0.500 0.500 0.000
O1 0.000 0.500 0.500

Output
DOS at the Fermi energy = 3.47 states/eV/cell
Distance to the lowest polymorph of the same formula = 610 meV per atom
Final energy = -2.4327 eV per atom